# PBE K2PbSO4, relaxed
# - V: 16.8 Å³/atom
# - Crystal system: tetragonal
# - Uncorrected energy: -4.66 eV/atom
# - Formation energy from raw total energies: -927 meV/atom
data_K2PbSO4
_chemical_formula_sum 'K4 Pb2 S2 O8'
_cell_length_a 6.1657
_cell_length_b 6.1657
_cell_length_c 7.0912
_cell_angle_alpha 90.00
_cell_angle_beta 90.00
_cell_angle_gamma 90.00
_symmetry_space_group_name_H-M 'I -4'
_symmetry_Int_Tables_number 82
_symmetry_space_group_name_Hall 'I -4'
loop_
_atom_site_label
_atom_site_fract_x
_atom_site_fract_y
_atom_site_fract_z
K1 0.0000 0.0000 0.0000
K2 0.0000 0.5000 0.2500
Pb1 0.0000 0.5000 0.7500
S1 0.0000 0.0000 0.5000
O1 0.1768 0.7764 0.5328